(1)
VASP calculation (PBE) on an optimized crystal structure of CaCoTc2.

Cell: 5.373 5.373 2.568 Å, 90.00 90.00 121.07°
Positions (direct):
Ca  0.000  0.000  0.000
Co  0.500  0.500  0.000
Tc  0.000  0.500  0.500
Tc  0.500  0.000  0.500



(2)
VASP calculation (PBE) on an optimized crystal structure of CaCoTc2.

Cell: 5.234 5.234 5.234 Å, 145.15 125.11 66.68°
Positions (direct):
Ca  0.000  0.000  0.000
Co  0.725  0.225  0.500
Tc  0.286  0.786  0.500
Tc  0.504  0.504  0.000



no.,E_form (kJ/mol of atoms),electronic total energy (eV/cell)
1,63,-27.213
2,55,-27.569